Density functional theory data (PBE-GGA) for a geometry-optimized PuTh2Ge structure.

Cell: 4.3155 4.9104 4.9104 Å, 90.00 90.00 90.00°
Site moments in Bohr magnetons follow the coordinates.
Fractional coordinates of all 4 atoms:
Ge1 0.5000 0.5000 0.5000  -0.04
Pu1 0.5000 0.0000 0.0000  5.41
Th1 0.0000 0.0000 0.5000  0.22
Th2 0.0000 0.5000 0.0000  0.22

Results
- final energy (eV per cell) = -34.91
- E above lowest polymorph (meV per atom) = 0.0
- space-group type = P4/mmm, No. 123
- formation energy from the elements (eV/f.u.) = -1.1
- D(E_F) (states/eV per cell) = 7.86